[1]
Density functional theory data (GGA-PBE) for LiLa6S8 after structural relaxation.

Structure (extended XYZ):
```
15
Lattice="7.214 0.278 2.568 1.901 6.965 2.568 0.350 0.278 7.649" Properties=species:S:1:pos:R:3 pbc="T T T"
Li 0.000 0.000 0.000
La 1.677 3.435 6.771
La 4.077 6.664 7.246
La 4.767 2.466 9.205
La 4.698 5.056 3.580
La 5.389 0.857 5.538
La 7.789 4.087 6.014
S 2.889 4.806 9.074
S 2.343 5.793 5.034
S 3.013 0.974 7.373
S 6.339 5.037 8.562
S 3.127 2.484 4.223
S 6.452 6.548 5.412
S 7.122 1.729 7.751
S 6.576 2.715 3.710
```

Values from the calculation:
**Uncorrected formation energy**: -2033 meV/atom



[2]
Density functional theory data (GGA-PBE) for LiLaS after structural relaxation.

Structure (extended XYZ):
```
3
Lattice="-2.522 1.433 3.181 -2.202 -3.371 -0.227 3.193 0.161 2.458" Properties=species:S:1:pos:R:3 pbc="T T T"
S -0.420 0.239 0.530
Li 0.974 -0.777 2.094
La -2.085 -1.238 2.788
```

Values from the calculation:
**E above lowest polymorph**: 0.0 meV/atom
**Uncorrected formation energy**: -1259 meV/atom



[3]
Density functional theory data (GGA-PBE) for LiLa4S5 after structural relaxation.

Structure (extended XYZ):
```
10
Lattice="4.118 0.000 0.505 2.028 3.584 0.505 0.055 0.032 16.598" Properties=species:S:1:pos:R:3 pbc="T T T"
Li 3.101 1.808 8.804
La 5.523 3.220 6.094
La 1.843 1.075 2.011
La 4.358 2.541 15.597
La 0.678 0.396 11.513
S 2.519 1.469 13.549
S 0.000 0.000 0.000
S 3.682 2.147 4.059
S 4.969 2.897 10.612
S 1.232 0.719 6.995
```

Values from the calculation:
**Uncorrected formation energy**: -2026 meV/atom



[4]
Density functional theory data (GGA-PBE) for LiLaS after structural relaxation.

Structure (extended XYZ):
```
18
Lattice="4.043 0.000 0.000 -2.021 3.501 0.000 0.000 0.000 29.147" Properties=species:S:1:pos:R:3 pbc="T T T"
S 0.000 0.000 26.156
S 0.000 0.000 2.992
S 0.000 2.334 16.440
S 0.000 2.334 22.423
S 2.021 1.167 6.724
S 2.021 1.167 12.708
La 0.000 0.000 0.000
La 0.000 2.334 19.432
La 2.021 1.167 9.716
La 0.000 0.000 14.574
La 0.000 2.334 4.858
La 2.021 1.167 24.290
Li 0.000 0.000 7.271
Li 0.000 0.000 21.877
Li 0.000 2.334 26.702
Li 0.000 2.334 12.161
Li 2.021 1.167 16.986
Li 2.021 1.167 2.445
```

Values from the calculation:
**E above lowest polymorph**: 17.6 meV/atom
**Uncorrected formation energy**: -1241 meV/atom